{
  "formula": "NpSbAu11",
  "functional": "PBE",
  "state": "optimized geometry",
  "e_tot_ev_per_atom": -4.074,
  "lattice": [[2.747, -6.553, 0.000], [2.747, 6.553, 0.000], [-2.050, 0.000, 7.357]],
  "species": ["Np", "Sb", "Au", "Au", "Au", "Au", "Au", "Au", "Au", "Au", "Au", "Au", "Au"],
  "frac_coords": [[0.000, 0.000, 0.000], [0.000, 0.000, 0.500], [0.000, 0.500, 0.000], [0.054, 0.684, 0.658], [0.316, 0.946, 0.342], [0.318, 0.528, 0.797], [0.472, 0.682, 0.203], [0.500, 0.000, 0.000], [0.500, 0.500, 0.500], [0.528, 0.318, 0.797], [0.682, 0.472, 0.203], [0.684, 0.054, 0.658], [0.946, 0.316, 0.342]]
}

***

{
  "formula": "NaNb2Br6",
  "functional": "PBE",
  "state": "optimized geometry",
  "polymorph_energy_mev_per_atom": 0,
  "e_tot_ev_per_atom": -4.498,
  "lattice": [[7.460, -1.797, 0.000], [7.460, 1.797, 0.000], [-5.743, 0.000, 10.122]],
  "species": ["Na", "Nb", "Nb", "Br", "Br", "Br", "Br", "Br", "Br"],
  "frac_coords": [[0.000, 0.000, 0.000], [0.302, 0.302, 0.615], [0.698, 0.698, 0.385], [0.039, 0.039, 0.284], [0.329, 0.329, 0.864], [0.340, 0.340, 0.417], [0.660, 0.660, 0.583], [0.671, 0.671, 0.136], [0.961, 0.961, 0.716]]
}

***

{
  "formula": "BaPm2Pb2",
  "functional": "PBE",
  "state": "optimized geometry",
  "e_form_ev_per_atom": -0.219,
  "e_tot_ev_per_atom": -3.987,
  "lattice": [[6.871, 0.000, 0.000], [3.407, 6.515, 0.000], [3.433, 0.012, 9.349]],
  "species": ["Ba", "Ba", "Pm", "Pm", "Pm", "Pm", "Pb", "Pb", "Pb", "Pb"],
  "frac_coords": [[0.125, 0.250, 0.250], [0.875, 0.750, 0.750], [0.211, 0.077, 0.751], [0.462, 0.578, 0.249], [0.538, 0.422, 0.751], [0.789, 0.923, 0.249], [0.251, 0.749, 0.997], [0.498, 0.750, 0.504], [0.502, 0.250, 0.496], [0.749, 0.251, 0.003]]
}

***

{
  "formula": "BaPa4S12",
  "functional": "PBE",
  "state": "optimized geometry",
  "e_tot_ev_per_atom": -6.621,
  "lattice": [[-5.200, 5.200, 5.200], [5.200, -5.200, 5.200], [5.200, 5.200, -5.200]],
  "species": ["Ba", "Pa", "Pa", "Pa", "Pa", "S", "S", "S", "S", "S", "S", "S", "S", "S", "S", "S", "S"],
  "frac_coords": [[0.000, 0.000, 0.000], [0.000, 0.000, 0.500], [0.000, 0.500, 0.000], [0.500, 0.000, 0.000], [0.500, 0.500, 0.500], [0.042, 0.779, 0.263], [0.221, 0.263, 0.484], [0.221, 0.737, 0.958], [0.263, 0.042, 0.779], [0.263, 0.484, 0.221], [0.484, 0.221, 0.263], [0.516, 0.779, 0.737], [0.737, 0.516, 0.779], [0.737, 0.958, 0.221], [0.779, 0.263, 0.042], [0.779, 0.737, 0.516], [0.958, 0.221, 0.737]]
}